HoInB after structural relaxation, computed with PBE.

abc: 4.613 4.613 4.613
angles: 60.00 60.00 60.00
Fractional positions:
Ho1 0.000 0.000 0.000
B1 0.250 0.250 0.250
In1 0.750 0.750 0.750

Calculated values
Mass density: 7.0 g/cm3
Offset from the most stable computed form: 848 meV/atom